VASP calculation (GGA-PBE) on NaZrPb2 after structural relaxation.

space-group type	P4/mmm, No. 123
magnetic moment	0.00	μB per cell
E_form	-0.169	eV/atom
DFT total energy	-4.4902	eV per atom

extended XYZ file:
```
4
Lattice="3.2921 0.0000 0.0000 0.0000 3.2921 0.0000 0.0000 0.0000 9.6328" Properties=species:S:1:pos:R:3 pbc="T T T"
Na 0.0000 0.0000 0.0000
Zr 0.0000 0.0000 4.8164
Pb 1.6461 1.6461 2.5359
Pb 1.6461 1.6461 7.0969
```